# 1
# TbNd2Zn3

A geometry-optimized TbNd2Zn3 structure (PBE, Alexandria via LeMat-Bulk).

Calculated values
space group: No. 123
energy of formation from the pure elements: -0.3136 eV/atom
total magnetic moment: 0.0 Bohr magnetons per cell

Cell lengths 3.6450, 3.6450, 11.0035 Å; angles 90.00, 90.00, 90.00 degrees
Closest atoms and distances in Å follow each position.
Positions (direct):
Tb  0.0000  0.0000  0.0000  8 Zn 3.10
Nd  0.0000  0.0000  0.3298  8 Zn 3.19-3.21
Nd  0.0000  0.0000  0.6702  8 Zn 3.19-3.21
Zn  0.5000  0.5000  0.1561  4 Tb 3.10, 4 Nd 3.21, 1 Zn 3.44
Zn  0.5000  0.5000  0.5000  8 Nd 3.19
Zn  0.5000  0.5000  0.8439  4 Tb 3.10, 4 Nd 3.21, 1 Zn 3.44

# 2
# RbCd2InBi2

A geometry-optimized RbCd2InBi2 structure (PBE, Alexandria via LeMat-Bulk).

Calculated values
space group: No. 164
energy of formation from the pure elements: -0.1462 eV/atom
total magnetic moment: 0.0 Bohr magnetons per cell

Cell lengths 5.1994, 5.1994, 8.8381 Å; angles 90.00, 90.00, 120.00 degrees
Closest atoms and distances in Å follow each position.
Positions (direct):
Rb  0.0000  0.0000  0.0000  6 Bi 3.87
Cd  0.3333  0.6667  0.3557  4 Bi 3.08-3.25, 3 In 3.26
Cd  0.6667  0.3333  0.6443  4 Bi 3.08-3.25, 3 In 3.26
In  0.0000  0.0000  0.5000  6 Cd 3.26, 6 Bi 3.59
Bi  0.3333  0.6667  0.7235  4 Cd 3.08-3.25
Bi  0.6667  0.3333  0.2765  4 Cd 3.08-3.25

# 3
# ZnCoRuRh

A geometry-optimized ZnCoRuRh structure (PBE, Alexandria via LeMat-Bulk).

Calculated values
space group: No. 216
energy of formation from the pure elements: 0.1225 eV/atom
total magnetic moment: 3.9 Bohr magnetons per cell

Cell lengths 4.2608, 4.2608, 4.2608 Å; angles 60.00, 60.00, 60.00 degrees
Closest atoms and distances in Å follow each position.
Positions (direct):
Zn  0.0000  0.0000  0.0000  4 Rh 2.61, 4 Co 2.61
Co  0.2500  0.2500  0.2500  4 Ru 2.61, 4 Zn 2.61
Ru  0.5000  0.5000  0.5000  4 Rh 2.61, 4 Co 2.61
Rh  0.7500  0.7500  0.7500  4 Ru 2.61, 4 Zn 2.61

Among the records above, which one has the highest energy of formation from the pure elements? ZnCoRuRh

Which of these has the highest total magnetic moment? ZnCoRuRh